! PBE-GGA BeTe5, relaxed; values from VASP
! calculated total energy = -2.486 eV per atom
! magnetization = 0.0 μB per formula unit
! energy relative to the elements, uncorrected = 754 meV/atom
! energy above the most stable polymorph in this dataset = 0.681 eV per atom
&SYSTEM
  ibrav = 0, nat = 6, ntyp = 2
/
ATOMIC_SPECIES
Be 9.01 Be.upf
Te 127.60 Te.upf
CELL_PARAMETERS angstrom
2.019 1.041 -7.694
-4.963 -5.952 2.074
-3.212 2.503 -0.504
ATOMIC_POSITIONS angstrom
Be 0.000 0.000 0.000
Te -2.635 -3.621 -1.182
Te -0.308 -1.290 -4.438
Te -0.597 1.772 -4.099
Te -4.088 -1.724 0.785
Te -3.078 -1.204 -3.062